# ZnNiHPd2 | Alexandria | PBE | optimized geometry
# * calculated density: 9.673 Mg/m³
# * uncorrected energy: -4.413 eV/atom
# * energy above the lowest structure with this stoichiometry: 0 meV/atom
# * M_tot: 0.33 Bohr magnetons per cell
# * DOS at the Fermi energy: 4.54 states/eV/f.u.
data_ZnNiHPd2
_chemical_formula_sum 'Zn1 Ni1 H1 Pd2'
_cell_length_a 4.055
_cell_length_b 4.055
_cell_length_c 3.528
_cell_angle_alpha 90.00
_cell_angle_beta 90.00
_cell_angle_gamma 90.00
_space_group_name_H-M_alt 'P 4/m m m'
_space_group_IT_number 123
_space_group_name_Hall '-P 4 2'
loop_
_atom_site_label
_atom_site_fract_x
_atom_site_fract_y
_atom_site_fract_z
Zn1 0.000 0.000 0.000
Ni1 0.500 0.500 0.000
H1 0.500 0.500 0.500
Pd1 0.000 0.500 0.500

***

# CeHoTh2Se4 | Alexandria | PBE | optimized geometry
# * calculated density: 8.831 Mg/m³
# * uncorrected energy: -6.566 eV/atom
# * M_tot: 0.56 Bohr magnetons per cell
# * DOS at the Fermi energy: 8.52 states/eV/f.u.
# * formation energy from raw total energies: -1655 meV/atom
data_CeHoTh2Se4
_chemical_formula_sum 'Ce1 Ho1 Th2 Se4'
_cell_length_a 7.111
_cell_length_b 4.128
_cell_length_c 7.346
_cell_angle_alpha 90.00
_cell_angle_beta 108.90
_cell_angle_gamma 90.00
_space_group_name_H-M_alt 'P 1 2/m 1'
_space_group_IT_number 10
loop_
_space_group_symop_operation_xyz
'x,y,z'
'-x,-y,-z'
'-x,y,-z'
'x,-y,z'
loop_
_atom_site_label
_atom_site_fract_x
_atom_site_fract_y
_atom_site_fract_z
Ce1 0.000 0.000 0.000
Ho1 0.500 0.500 0.000
Th1 0.000 0.500 0.500
Th2 0.500 0.000 0.500
Se1 0.253 0.500 0.241
Se2 0.260 0.000 0.763

***

# BeTeRu2 | Alexandria | PBE | optimized geometry
# * calculated density: 9.660 Mg/m³
# * uncorrected energy: -6.147 eV/atom
# * energy above the lowest structure with this stoichiometry: 177 meV/atom
# * M_tot: 0.00 Bohr magnetons per cell
# * DOS at the Fermi energy: 3.53 states/eV/f.u.
# * formation energy from raw total energies: 208 meV/atom
data_BeTeRu2
_chemical_formula_sum 'Be2 Te2 Ru4'
_cell_length_a 3.223
_cell_length_b 4.714
_cell_length_c 7.664
_cell_angle_alpha 90.00
_cell_angle_beta 90.00
_cell_angle_gamma 90.00
_space_group_name_H-M_alt 'I m m m'
_space_group_IT_number 71
_space_group_name_Hall '-I 2 2'
loop_
_atom_site_label
_atom_site_fract_x
_atom_site_fract_y
_atom_site_fract_z
Be1 0.000 0.000 0.000
Te1 0.000 0.000 0.500
Ru1 0.000 0.500 0.291

***

# Li5Gd3Cl12 | Alexandria | PBE | optimized geometry
# * calculated density: 3.427 Mg/m³
# * uncorrected energy: -5.634 eV/atom
# * M_tot: 166.69 Bohr magnetons per cell
# * DOS at the Fermi energy: 17.25 states/eV/f.u.
# * formation energy from raw total energies: -1935 meV/atom
data_Li5Gd3Cl12
_chemical_formula_sum 'Li40 Gd24 Cl96'
_cell_length_a 15.343
_cell_length_b 15.343
_cell_length_c 15.343
_cell_angle_alpha 90.00
_cell_angle_beta 90.00
_cell_angle_gamma 90.00
_space_group_name_H-M_alt 'I a -3 d'
_space_group_IT_number 230
_space_group_name_Hall '-I 4bd 2c 3'
loop_
_atom_site_label
_atom_site_fract_x
_atom_site_fract_y
_atom_site_fract_z
Li1 0.000 0.000 0.000
Li2 0.000 0.250 0.375
Gd1 0.000 0.250 0.125
Cl1 0.028 0.062 0.653